The following is a DFT calculation (PBE with a Hubbard U) of CsCrMo2O8 after structural relaxation.

Cell lengths 5.7731, 5.7731, 8.2919 Å; angles 90.00, 90.00, 120.00 degrees
Fractional positions:
1 Cs 0.0000 0.0000 0.5000
2 Cr 0.0000 0.0000 0.0000
3 Mo 0.3333 0.6667 0.7926
4 Mo 0.6667 0.3333 0.2074
5 O 0.1609 0.3221 0.8580
6 O 0.1609 0.8391 0.8578
7 O 0.6779 0.8391 0.8580
8 O 0.3221 0.1609 0.1420
9 O 0.6666 0.3334 0.4190
10 O 0.3334 0.6666 0.5810
11 O 0.8391 0.6779 0.1420
12 O 0.8391 0.1609 0.1422

Values from the calculation:
DOS at the Fermi energy	0.00	states/eV/cell
total magnetization	3.00	μB per formula unit
calculated total energy	-6.9819	eV per atom